Here is a geometry-optimized Ac3TbTl structure from the Alexandria database. Energies are from PBE.

Summary:
Total energy ... -3.921 eV/atom

Lattice parameters (Å, degrees): 13.680 13.680 5.274 90.00 90.00 157.75
Sites, in units of the cell vectors:
Ac  0.055  0.945  0.750
Ac  0.250  0.750  0.750
Ac  0.442  0.558  0.750
Ac  0.558  0.442  0.250
Ac  0.750  0.250  0.250
Ac  0.945  0.055  0.250
Tb  0.348  0.652  0.250
Tb  0.652  0.348  0.750
Tl  0.154  0.846  0.250
Tl  0.846  0.154  0.750

***

Here is a geometry-optimized Ac2Tb2Tl3 structure from the Alexandria database. Energies are from PBE.

Summary:
Total energy ... -3.716 eV/atom

Lattice parameters (Å, degrees): 13.524 13.524 3.699 90.00 90.00 160.26
Sites, in units of the cell vectors:
Ac  0.076  0.924  0.000
Ac  0.924  0.076  0.000
Tb  0.205  0.795  0.000
Tb  0.795  0.205  0.000
Tl  0.341  0.659  0.500
Tl  0.500  0.500  0.500
Tl  0.659  0.341  0.500

***

Here is a geometry-optimized Ac5Tb2Tl4 structure from the Alexandria database. Energies are from PBE.

Summary:
Total energy ... -3.596 eV/atom

Lattice parameters (Å, degrees): 12.763 12.763 8.535 91.37 91.37 17.13
Sites, in units of the cell vectors:
Ac  0.000  0.000  0.000
Ac  0.272  0.272  0.295
Ac  0.349  0.349  0.899
Ac  0.651  0.651  0.101
Ac  0.728  0.728  0.705
Tb  0.415  0.415  0.290
Tb  0.585  0.585  0.710
Tl  0.143  0.143  0.443
Tl  0.462  0.462  0.651
Tl  0.538  0.538  0.349
Tl  0.857  0.857  0.557

***

Here is a geometry-optimized Ac3TbTl2 structure from the Alexandria database. Energies are from PBE.

Summary:
Total energy ... -3.828 eV/atom

Lattice parameters (Å, degrees): 10.129 10.129 10.129 138.86 59.58 138.86
Sites, in units of the cell vectors:
Ac  0.178  0.749  0.927
Ac  0.250  0.250  0.000
Ac  0.322  0.249  0.571
Ac  0.678  0.751  0.429
Ac  0.750  0.750  0.000
Ac  0.822  0.251  0.073
Tb  0.250  0.750  0.500
Tb  0.750  0.250  0.500
Tl  0.130  0.268  0.397
Tl  0.370  0.768  0.138
Tl  0.630  0.232  0.862
Tl  0.870  0.732  0.603

***

Here is a geometry-optimized AcTb6Tl3 structure from the Alexandria database. Energies are from PBE.

Summary:
Total energy ... -4.045 eV/atom

Lattice parameters (Å, degrees): 8.675 8.675 8.662 90.00 90.00 95.50
Sites, in units of the cell vectors:
Ac  0.192  0.808  0.500
Ac  0.808  0.192  0.000
Tb  0.071  0.433  0.700
Tb  0.113  0.238  0.343
Tb  0.238  0.113  0.843
Tb  0.262  0.738  0.926
Tb  0.433  0.071  0.200
Tb  0.480  0.520  0.295
Tb  0.520  0.480  0.795
Tb  0.567  0.929  0.700
Tb  0.738  0.262  0.426
Tb  0.762  0.887  0.343
Tb  0.887  0.762  0.843
Tb  0.929  0.567  0.200
Tl  0.069  0.931  0.141
Tl  0.224  0.400  0.044
Tl  0.400  0.224  0.544
Tl  0.600  0.776  0.044
Tl  0.776  0.600  0.544
Tl  0.931  0.069  0.641

***

Here is a geometry-optimized Ac3Tb2Tl4 structure from the Alexandria database. Energies are from PBE.

Summary:
Total energy ... -3.735 eV/atom

Lattice parameters (Å, degrees): 7.030 7.030 10.468 116.66 116.66 42.73
Sites, in units of the cell vectors:
Ac  0.000  0.000  0.000
Ac  0.360  0.360  0.310
Ac  0.640  0.640  0.690
Tb  0.350  0.350  0.680
Tb  0.650  0.650  0.320
Tl  0.075  0.075  0.411
Tl  0.308  0.308  0.960
Tl  0.692  0.692  0.040
Tl  0.925  0.925  0.589

***

Here is a geometry-optimized AcTb2Tl4 structure from the Alexandria database. Energies are from PBE.

Summary:
Total energy ... -3.439 eV/atom

Lattice parameters (Å, degrees): 5.368 5.368 7.890 90.00 90.00 90.00
Sites, in units of the cell vectors:
Ac  0.000  0.000  0.000
Tb  0.000  0.000  0.500
Tb  0.500  0.500  0.000
Tl  0.000  0.500  0.281
Tl  0.000  0.500  0.719
Tl  0.500  0.000  0.281
Tl  0.500  0.000  0.719

***

Here is a geometry-optimized AcTbTl2 structure from the Alexandria database. Energies are from PBE.

Summary:
Total energy ... -3.595 eV/atom

Lattice parameters (Å, degrees): 10.249 10.249 10.249 22.18 22.18 22.18
Sites, in units of the cell vectors:
Ac  0.000  0.000  0.000
Tb  0.500  0.500  0.500
Tl  0.244  0.244  0.244
Tl  0.756  0.756  0.756